Entry 1:
This record from the Alexandria database describes crystalline MgAlGaAg2 at its relaxed geometry. The functional is GGA-PBE.

Calculated values
Space-group type   Cmcm (63)
Theoretical density   5.98 g cm⁻³
Magnetic moment   0.000 μB per atom
ΔE_f   -0.02 eV/atom
DFT total energy   -2.830 eV per atom

Cell lengths 3.052, 7.009, 8.965 Å; angles 90.00, 90.00, 102.57 degrees
Element x y z (fractional)
Mg  0.840  0.680  0.750
Mg  0.160  0.320  0.250
Al  0.000  0.000  0.000
Al  0.000  0.000  0.500
Ga  0.535  0.070  0.750
Ga  0.465  0.930  0.250
Ag  0.185  0.370  0.910
Ag  0.815  0.630  0.090
Ag  0.185  0.370  0.590
Ag  0.815  0.630  0.410


Entry 2:
This record from the Alexandria database describes crystalline KLa2AgRu at its relaxed geometry. The functional is GGA-PBE.

Calculated values
Space-group type   P4/mmm (123)
Theoretical density   5.31 g cm⁻³
Magnetic moment   0.000 μB per atom
ΔE_f   0.04 eV/atom
DFT total energy   -4.579 eV per atom

Cell lengths 5.379, 5.379, 5.686 Å; angles 90.00, 90.00, 90.00 degrees
Element x y z (fractional)
Ru  0.000  0.000  0.000
K  0.500  0.500  0.500
Ag  0.000  0.000  0.500
La  0.000  0.500  0.000
La  0.500  0.000  0.000


Entry 3:
This record from the Alexandria database describes crystalline ScCdOF2 at its relaxed geometry. The functional is GGA-PBE.

Calculated values
Space-group type   P4/mmm (123)
Theoretical density   4.35 g cm⁻³
Offset from the most stable computed form   1.065 eV per atom
Magnetic moment   0.193 μB per atom
Formation energy without anion corrections   -1518 meV per atom
DFT total energy   -4.707 eV per atom

Cell lengths 4.311, 4.311, 4.338 Å; angles 90.00, 90.00, 90.00 degrees
Each line ends with the local moment (μB).
Element x y z (fractional)
Sc  0.500  0.500  0.500  0.78
F  0.000  0.500  0.000  0.01
F  0.500  0.000  0.000  0.01
O  0.000  0.000  0.500  -0.03
Cd  0.000  0.000  0.000  0.00


> Which value of theoretical density does entry 1 give?

5.98 g cm⁻³


> Number 1 is which compound?

MgAlGaAg2


> Look up the magnetic moment of the third one.

0.193 μB per atom